(1)
A geometry-optimized LiCoP2O7 structure, computed with PBE+U.

The space group is P-1 (No. 2) and the conventional cell measures 4.932, 6.077 and 8.971 Å, with angles of 74.42, 86.02 and 85.75 degrees. The distinct sites, in fractional coordinates, are Li at (0.205, 0.299, 0.027), Co at (0.257, 0.990, 0.729), P at (0.220, 0.284, 0.375), P at (0.271, 0.738, 0.161), O at (0.067, 0.775, 0.643), O at (0.073, 0.946, 0.169), O at (0.196, 0.633, 0.035), O at (0.225, 0.559, 0.329), O at (0.318, 0.215, 0.540), O at (0.424, 0.205, 0.257) and O at (0.434, 0.192, 0.855).

Its energy above the most stable polymorph in this dataset is 27 kJ/mol of formula units.

***

(2)
A geometry-optimized LiCoP2O7 structure, computed with PBE+U.

The space group is P2_1 (No. 4) and the conventional cell measures 4.880, 8.150 and 6.997 Å, with angles of 90.00, 107.68 and 90.00 degrees. The distinct sites, in fractional coordinates, are Li at (0.162, 0.000, 0.165), Co at (0.214, 0.640, 0.230), P at (0.222, 0.929, 0.586), P at (0.403, 0.321, 0.024), O at (0.041, 0.476, 0.349), O at (0.132, 0.841, 0.384), O at (0.188, 0.180, 0.985), O at (0.254, 0.489, 0.009), O at (0.392, 0.817, 0.105), O at (0.403, 0.795, 0.745) and O at (0.408, 0.080, 0.582).

Its energy above the most stable polymorph in this dataset is 0 kJ/mol of formula units.

***

(3)
A geometry-optimized Li2CoP2O7 structure, computed with PBE+U.

The space group is P-42_1m (No. 113) and the conventional cell measures 7.687, 7.687 and 5.047 Å, with angles of 90.00, 90.00 and 90.00 degrees. The distinct sites, in fractional coordinates, are Li at (0.218, 0.282, 0.462), Co at (0.000, 0.000, 0.000), P at (0.142, 0.642, 0.101), O at (0.000, 0.500, 0.196), O at (0.081, 0.811, 0.242) and O at (0.154, 0.654, 0.804).

As for the density of states at the Fermi level: 0.0 states/eV per cell. Its energy above the most stable polymorph in this dataset is 65 kJ/mol of formula units.

***

(4)
A geometry-optimized Li2CoP4O12 structure, computed with PBE+U.

The space group is P-1 (No. 2) and the conventional cell measures 5.335, 7.088 and 7.215 Å, with angles of 108.67, 94.02 and 106.71 degrees. The distinct sites, in fractional coordinates, are Li at (0.148, 0.222, 0.062), Co at (0.500, 0.500, 0.500), P at (0.182, 0.713, 0.291), P at (0.365, 0.923, 0.728), O at (0.063, 0.314, 0.838), O at (0.182, 0.862, 0.515), O at (0.193, 0.939, 0.882), O at (0.234, 0.516, 0.303), O at (0.447, 0.842, 0.233) and O at (0.470, 0.224, 0.296).

As for the density of states at the Fermi level: 0.0 states/eV per cell. Its energy above the most stable polymorph in this dataset is 26 kJ/mol of formula units.